No. 1
An optimized crystal structure of CeEr14Sc. Source: Alexandria, functional PBE.

Cell lengths 6.9797, 6.9797, 9.8670 Å; angles 90.00, 90.00, 90.00 degrees
With the nearest neighbours (Å) after each atom.
Fractional coordinates of all 16 atoms:
Ce 0.8745 0.1255 0.0000  12 Er 3.48-3.49
Er 0.3750 0.6250 0.5000  12 Er 3.49-3.50
Er 0.8751 0.1249 0.5000  12 Er 3.49-3.51
Er 0.8751 0.6251 0.0000  8 Er 3.47, 2 Ce 3.49, 2 Sc 3.49
Er 0.8751 0.6250 0.5000  12 Er 3.49-3.51
Er 0.3749 0.1249 0.0000  8 Er 3.47, 2 Ce 3.49, 2 Sc 3.49
Er 0.3750 0.1249 0.5000  12 Er 3.49-3.51
Er 0.6243 0.8743 0.7522  1 Sc 3.47, 10 Er 3.47-3.51, 1 Ce 3.48
Er 0.6243 0.8743 0.2478  1 Sc 3.47, 10 Er 3.47-3.51, 1 Ce 3.48
Er 0.1257 0.3757 0.7522  1 Sc 3.47, 10 Er 3.47-3.51, 1 Ce 3.48
Er 0.1257 0.3757 0.2478  1 Sc 3.47, 10 Er 3.47-3.51, 1 Ce 3.48
Er 0.1257 0.8743 0.7523  1 Sc 3.47, 10 Er 3.47-3.51, 1 Ce 3.48
Er 0.1257 0.8743 0.2477  1 Sc 3.47, 10 Er 3.47-3.51, 1 Ce 3.48
Er 0.6243 0.3757 0.7522  1 Sc 3.47, 10 Er 3.47-3.51, 1 Ce 3.48
Er 0.6243 0.3757 0.2478  1 Sc 3.47, 10 Er 3.47-3.51, 1 Ce 3.48
Sc 0.3752 0.6248 0.0000  12 Er 3.47-3.49

Summary:
calculated formation energy = 0.5 eV/f.u.
M_tot = 0.8 μB per cell
D(E_F) = 1.342 states/eV/atom


No. 2
An optimized crystal structure of CeErSc14. Source: Alexandria, functional PBE.

Cell lengths 6.6769, 6.6769, 10.4326 Å; angles 90.00, 90.00, 119.82 degrees
With the nearest neighbours (Å) after each atom.
Fractional coordinates of all 16 atoms:
Ce 0.8358 0.1642 0.0000  10 Sc 3.27-3.37, 2 Er 3.35
Er 0.3349 0.6651 0.0000  10 Sc 3.30-3.37, 2 Ce 3.35
Sc 0.3330 0.6670 0.5000  12 Sc 3.20-3.35
Sc 0.8332 0.1668 0.5000  12 Sc 3.18-3.35
Sc 0.8315 0.6666 0.0000  8 Sc 3.26-3.36, 2 Ce 3.31-3.37, 2 Er 3.31-3.37
Sc 0.8335 0.6662 0.5000  12 Sc 3.19-3.35
Sc 0.3334 0.1685 0.0000  8 Sc 3.26-3.36, 2 Ce 3.31-3.37, 2 Er 3.31-3.37
Sc 0.3338 0.1665 0.5000  12 Sc 3.19-3.35
Sc 0.6687 0.8355 0.7435  10 Sc 3.18-3.38, 1 Ce 3.28, 1 Er 3.30
Sc 0.6687 0.8355 0.2565  10 Sc 3.18-3.38, 1 Ce 3.28, 1 Er 3.30
Sc 0.1645 0.3313 0.7435  10 Sc 3.18-3.38, 1 Ce 3.28, 1 Er 3.30
Sc 0.1645 0.3313 0.2565  10 Sc 3.18-3.38, 1 Ce 3.28, 1 Er 3.30
Sc 0.1652 0.8348 0.7452  11 Sc 3.20-3.36, 1 Er 3.30
Sc 0.1652 0.8348 0.2548  11 Sc 3.20-3.36, 1 Er 3.30
Sc 0.6670 0.3330 0.7480  11 Sc 3.22-3.35, 1 Ce 3.27
Sc 0.6670 0.3330 0.2520  11 Sc 3.22-3.35, 1 Ce 3.27

Summary:
calculated formation energy = 0.2 eV/f.u.
M_tot = 0.0 μB per cell
D(E_F) = 1.790 states/eV/atom


No. 3
An optimized crystal structure of CeErSc. Source: Alexandria, functional PBE.

Cell lengths 3.4053, 3.4053, 8.2693 Å; angles 90.00, 90.00, 120.00 degrees
With the nearest neighbours (Å) after each atom.
Fractional coordinates of all 3 atoms:
Sc 0.6667 0.3333 0.3367  3 Ce 3.31, 3 Er 3.38, 6 Sc 3.41
Ce 0.3333 0.6667 0.6590  3 Sc 3.31, 6 Ce 3.41, 3 Er 3.47
Er 0.0000 0.0000 0.0043  3 Sc 3.38, 6 Er 3.41, 3 Ce 3.47

Summary:
calculated formation energy = 0.2 eV/f.u.
polymorph energy (0 for the lowest one) = 0.3 kJ per mole of atoms
M_tot = 0.4 μB per cell
D(E_F) = 2.025 states/eV/atom